# Re2BiMo, relaxed, DFT PBE
data_Re2BiMo
_chemical_formula_sum 'Re8 Bi4 Mo4'
_symmetry_space_group_name_H-M 'F -4 3 m'
_symmetry_Int_Tables_number 216
_symmetry_space_group_name_Hall 'F -4 2 3'
_cell_length_a 6.5122
_cell_length_b 6.5122
_cell_length_c 6.5122
_cell_angle_alpha 90.00
_cell_angle_beta 90.00
_cell_angle_gamma 90.00
loop_
_atom_site_label
_atom_site_type_symbol
_atom_site_fract_x
_atom_site_fract_y
_atom_site_fract_z
Re1 Re 0.0000 0.0000 0.0000
Re2 Re 0.2500 0.2500 0.2500
Bi1 Bi 0.0000 0.0000 0.5000
Mo1 Mo 0.2500 0.2500 0.7500
# theoretical density: 16.29 Mg/m³
# E_tot: -144.93 eV per cell


# ReBiMo2, relaxed, DFT PBE
data_ReBiMo2
_chemical_formula_sum 'Re4 Bi4 Mo8'
_symmetry_space_group_name_H-M 'F -4 3 m'
_symmetry_Int_Tables_number 216
_symmetry_space_group_name_Hall 'F -4 2 3'
_cell_length_a 6.5387
_cell_length_b 6.5387
_cell_length_c 6.5387
_cell_angle_alpha 90.00
_cell_angle_beta 90.00
_cell_angle_gamma 90.00
loop_
_atom_site_label
_atom_site_type_symbol
_atom_site_fract_x
_atom_site_fract_y
_atom_site_fract_z
Re1 Re 0.0000 0.0000 0.0000
Bi1 Bi 0.2500 0.2500 0.7500
Mo1 Mo 0.0000 0.0000 0.5000
Mo2 Mo 0.2500 0.2500 0.2500
# theoretical density: 13.95 Mg/m³
# E_tot: -140.40 eV per cell


# BiSb2Mo, relaxed, DFT PBE
data_BiSb2Mo
_chemical_formula_sum 'Bi4 Sb8 Mo4'
_symmetry_space_group_name_H-M 'F -4 3 m'
_symmetry_Int_Tables_number 216
_symmetry_space_group_name_Hall 'F -4 2 3'
_cell_length_a 7.1973
_cell_length_b 7.1973
_cell_length_c 7.1973
_cell_angle_alpha 90.00
_cell_angle_beta 90.00
_cell_angle_gamma 90.00
loop_
_atom_site_label
_atom_site_type_symbol
_atom_site_fract_x
_atom_site_fract_y
_atom_site_fract_z
Bi1 Bi 0.0000 0.0000 0.0000
Sb1 Sb 0.0000 0.0000 0.5000
Sb2 Sb 0.2500 0.2500 0.7500
Mo1 Mo 0.2500 0.2500 0.2500
# theoretical density: 9.77 Mg/m³
# E_tot: -81.47 eV per cell


# BiSbMo, relaxed, DFT PBE
data_BiSbMo
_chemical_formula_sum 'Bi4 Sb4 Mo4'
_symmetry_space_group_name_H-M 'F -4 3 m'
_symmetry_Int_Tables_number 216
_symmetry_space_group_name_Hall 'F -4 2 3'
_cell_length_a 6.7941
_cell_length_b 6.7941
_cell_length_c 6.7941
_cell_angle_alpha 90.00
_cell_angle_beta 90.00
_cell_angle_gamma 90.00
loop_
_atom_site_label
_atom_site_type_symbol
_atom_site_fract_x
_atom_site_fract_y
_atom_site_fract_z
Bi1 Bi 0.0000 0.0000 0.0000
Sb1 Sb 0.0000 0.0000 0.5000
Mo1 Mo 0.2500 0.2500 0.2500
# relative energy among the computed polymorphs: 0.0 kJ per mole of atoms
# theoretical density: 9.04 Mg/m³


# Bi2SbMo, relaxed, DFT PBE
data_Bi2SbMo
_chemical_formula_sum 'Bi8 Sb4 Mo4'
_symmetry_space_group_name_H-M 'F -4 3 m'
_symmetry_Int_Tables_number 216
_symmetry_space_group_name_Hall 'F -4 2 3'
_cell_length_a 7.2890
_cell_length_b 7.2890
_cell_length_c 7.2890
_cell_angle_alpha 90.00
_cell_angle_beta 90.00
_cell_angle_gamma 90.00
loop_
_atom_site_label
_atom_site_type_symbol
_atom_site_fract_x
_atom_site_fract_y
_atom_site_fract_z
Bi1 Bi 0.0000 0.0000 0.0000
Bi2 Bi 0.2500 0.2500 0.2500
Sb1 Sb 0.0000 0.0000 0.5000
Mo1 Mo 0.2500 0.2500 0.7500
# theoretical density: 10.90 Mg/m³
# E_tot: -80.72 eV per cell


# Sc2BiMo, relaxed, DFT PBE
data_Sc2BiMo
_chemical_formula_sum 'Sc8 Bi4 Mo4'
_symmetry_space_group_name_H-M 'F -4 3 m'
_symmetry_Int_Tables_number 216
_symmetry_space_group_name_Hall 'F -4 2 3'
_cell_length_a 6.8825
_cell_length_b 6.8825
_cell_length_c 6.8825
_cell_angle_alpha 90.00
_cell_angle_beta 90.00
_cell_angle_gamma 90.00
loop_
_atom_site_label
_atom_site_type_symbol
_atom_site_fract_x
_atom_site_fract_y
_atom_site_fract_z
Sc1 Sc 0.0000 0.0000 0.0000
Sc2 Sc 0.2500 0.2500 0.2500
Bi1 Bi 0.0000 0.0000 0.5000
Mo1 Mo 0.2500 0.2500 0.7500
# theoretical density: 8.04 Mg/m³
# E_tot: -108.72 eV per cell


# ScBiMo, relaxed, DFT PBE
data_ScBiMo
_chemical_formula_sum 'Sc4 Bi4 Mo4'
_symmetry_space_group_name_H-M 'F -4 3 m'
_symmetry_Int_Tables_number 216
_symmetry_space_group_name_Hall 'F -4 2 3'
_cell_length_a 6.6665
_cell_length_b 6.6665
_cell_length_c 6.6665
_cell_angle_alpha 90.00
_cell_angle_beta 90.00
_cell_angle_gamma 90.00
loop_
_atom_site_label
_atom_site_type_symbol
_atom_site_fract_x
_atom_site_fract_y
_atom_site_fract_z
Sc1 Sc 0.0000 0.0000 0.0000
Bi1 Bi 0.2500 0.2500 0.7500
Mo1 Mo 0.2500 0.2500 0.2500
# theoretical density: 7.84 Mg/m³
# E_tot: -74.83 eV per cell


# ScBi2Mo, relaxed, DFT PBE
data_ScBi2Mo
_chemical_formula_sum 'Sc4 Bi8 Mo4'
_symmetry_space_group_name_H-M 'F -4 3 m'
_symmetry_Int_Tables_number 216
_symmetry_space_group_name_Hall 'F -4 2 3'
_cell_length_a 7.1903
_cell_length_b 7.1903
_cell_length_c 7.1903
_cell_angle_alpha 90.00
_cell_angle_beta 90.00
_cell_angle_gamma 90.00
loop_
_atom_site_label
_atom_site_type_symbol
_atom_site_fract_x
_atom_site_fract_y
_atom_site_fract_z
Sc1 Sc 0.0000 0.0000 0.0000
Bi1 Bi 0.0000 0.0000 0.5000
Bi2 Bi 0.2500 0.2500 0.2500
Mo1 Mo 0.2500 0.2500 0.7500
# theoretical density: 9.99 Mg/m³
# E_tot: -93.98 eV per cell


The lowest theoretical density belongs to which entry? ScBiMo


Which of these has the lowest theoretical density? ScBiMo


The highest theoretical density belongs to which entry? Re2BiMo


Repeat the sixth record exactly.
# Sc2BiMo, relaxed, DFT PBE
data_Sc2BiMo
_chemical_formula_sum 'Sc8 Bi4 Mo4'
_symmetry_space_group_name_H-M 'F -4 3 m'
_symmetry_Int_Tables_number 216
_symmetry_space_group_name_Hall 'F -4 2 3'
_cell_length_a 6.8825
_cell_length_b 6.8825
_cell_length_c 6.8825
_cell_angle_alpha 90.00
_cell_angle_beta 90.00
_cell_angle_gamma 90.00
loop_
_atom_site_label
_atom_site_type_symbol
_atom_site_fract_x
_atom_site_fract_y
_atom_site_fract_z
Sc1 Sc 0.0000 0.0000 0.0000
Sc2 Sc 0.2500 0.2500 0.2500
Bi1 Bi 0.0000 0.0000 0.5000
Mo1 Mo 0.2500 0.2500 0.7500
# theoretical density: 8.04 Mg/m³
# E_tot: -108.72 eV per cell